# 1
Here is a relaxed structure of TbSm2Rh from Alexandria via LeMat-Bulk. Energies are from PBE-GGA.

As for the total energy: -0.4284 Ry/atom. As for the volume: 112.5 Å³/f.u. For the polymorph energy (0 for the lowest one), the calculation gives 0 meV/atom. As for the crystal system: orthorhombic. The calculation puts the size of the total moment at 0.00 μB/cell. The value obtained for the energy of formation is -0.4739 eV per atom.

The space group is Pnma (No. 62) and the conventional cell measures 7.2444, 9.7948 and 6.3422 Å, with angles of 90.00, 90.00 and 90.00 degrees. The inequivalent atoms are Tb at (0.0361, 0.2500, 0.1455), Sm at (0.1779, 0.0649, 0.6698) and Rh at (0.1208, 0.7500, 0.4422).

---

# 2
Here is a relaxed structure of Tb2SmRh3 from Alexandria via LeMat-Bulk. Energies are from PBE-GGA.

As for the total energy: -0.5005 Ry/atom. As for the volume: 124.3 Å³/f.u. As for the crystal system: trigonal. The calculation puts the size of the total moment at 0.00 μB/cell. The value obtained for the energy of formation is -0.8035 eV per atom.

The space group is P-3m1 (No. 164) and the conventional cell measures 4.8958, 4.8958 and 5.9872 Å, with angles of 90.00, 90.00 and 120.00 degrees. The inequivalent atoms are Tb at (0.3333, 0.6667, 0.1653), Sm at (0.0000, 0.0000, 0.5000), Rh at (0.0000, 0.0000, 0.0000) and Rh at (0.3333, 0.6667, 0.6711).